Entry from Alexandria: a relaxed structure of Cs2LaNb (GGA-PBE).

It has space group Fm-3m (No. 225), with a = 8.6272 Å, b = 8.6272 Å, c = 8.6272 Å, α = 90.00°, β = 90.00° and γ = 90.00°. The distinct sites, in fractional coordinates, are Cs at (0.2500, 0.2500, 0.2500), La at (0.0000, 0.0000, 0.0000) and Nb at (0.0000, 0.0000, 0.5000).

The value obtained for the calculated total energy is -0.192 Ry per atom. The calculation puts the formation energy at 1.5665 eV per atom.